Record 1
RhSeBr2Cl after structural relaxation, computed with PBEsol.

```
5
Lattice="4.641 0.000 0.000 0.000 5.031 0.000 0.000 0.000 5.031" Properties=species:S:1:pos:R:3 pbc="T T T"
Br 0.000 2.515 0.000
Rh 0.000 0.000 0.000
Se 2.321 0.000 0.000
Cl 2.321 2.515 2.515
Br 0.000 0.000 2.515
```

Output
E (eV/atom): -3.329
SG: P4/mmm
Magnetic moment (μB/f.u.): 0.00
E_form (uncorrected) (eV per atom): 0.2187


Record 2
RuBr2Cl after structural relaxation, computed with PBEsol.

```
4
Lattice="3.562 0.000 0.000 1.781 3.085 0.000 1.781 1.028 8.126" Properties=species:S:1:pos:R:3 pbc="T T T"
Br 5.343 3.085 6.136
Br 5.343 3.085 0.718
Ru 1.781 1.028 2.058
Cl 3.562 2.056 3.277
```

Output
E (eV/atom): -3.976
SG: R3m
Magnetic moment (μB/f.u.): 0.25
E_form (uncorrected) (eV per atom): 0.0039


Record 3
RuBrCl2 after structural relaxation, computed with PBEsol.

```
4
Lattice="-2.763 1.933 0.942 -2.907 -2.688 -3.010 0.393 -2.217 5.704" Properties=species:S:1:pos:R:3 pbc="T T T"
Cl -2.418 -2.813 -1.320
Ru -1.185 -0.142 3.323
Cl -0.096 -2.093 4.014
Br -2.639 -1.486 1.818
```

Output
E (eV/atom): -4.303
SG: Cmmm
Magnetic moment (μB/f.u.): 1.40
E_form (uncorrected) (eV per atom): -0.2881


Record 4
TeSBrCl2 after structural relaxation, computed with PBEsol.

```
5
Lattice="5.001 0.000 0.000 0.000 5.001 0.000 0.000 0.000 5.021" Properties=species:S:1:pos:R:3 pbc="T T T"
Cl 0.000 2.501 0.000
Br 0.000 0.000 0.000
S 0.000 0.000 2.510
Cl 2.501 0.000 0.000
Te 2.501 2.501 2.510
```

Output
E (eV/atom): -2.104
SG: P4/mmm
Magnetic moment (μB/f.u.): 1.07
E_form (uncorrected) (eV per atom): 0.6549


Record 5
WSBrCl2 after structural relaxation, computed with PBEsol.

```
5
Lattice="-2.795 2.679 3.098 -3.534 -3.473 -0.184 2.070 -2.312 3.867" Properties=species:S:1:pos:R:3 pbc="T T T"
W -2.129 -1.553 3.390
Cl -1.767 -1.737 -0.092
Cl -1.397 1.340 1.549
Br 0.000 0.000 0.000
S 1.035 -1.156 1.933
```

Output
E (eV/atom): -3.173
SG: P4/mmm
Magnetic moment (μB/f.u.): 4.54
E_form (uncorrected) (eV per atom): 1.6428


Record 6
YSBrCl2 after structural relaxation, computed with PBEsol.

```
5
Lattice="5.029 0.000 0.000 0.000 5.029 0.000 0.000 0.000 5.583" Properties=species:S:1:pos:R:3 pbc="T T T"
S 0.000 0.000 2.791
Br 2.515 2.515 2.791
Y 0.000 0.000 0.000
Cl 2.515 0.000 0.000
Cl 0.000 2.515 0.000
```

Output
E (eV/atom): -4.469
SG: P4/mmm
Magnetic moment (μB/f.u.): 0.00
E_form (uncorrected) (eV per atom): -1.0504


Record 7
Sb2Br2Cl after structural relaxation, computed with PBEsol.

```
10
Lattice="4.673 0.000 0.000 0.000 7.440 0.000 0.000 0.000 7.440" Properties=species:S:1:pos:R:3 pbc="T T T"
Br 2.336 2.439 1.281
Sb 0.000 6.411 4.749
Cl 0.000 3.720 3.720
Br 2.336 1.281 5.001
Sb 0.000 4.749 1.029
Br 2.336 6.159 2.439
Sb 0.000 1.029 2.691
Sb 0.000 2.691 6.411
Cl 0.000 0.000 0.000
Br 2.336 5.001 6.159
```

Output
E (eV/atom): -3.175
SG: P4/mbm
Magnetic moment (μB/f.u.): 0.00
E_form (uncorrected) (eV per atom): -0.2023


Record 8
Sb2BrCl after structural relaxation, computed with PBEsol.

```
4
Lattice="3.444 0.000 0.000 -1.722 2.912 0.000 0.000 0.000 9.656" Properties=species:S:1:pos:R:3 pbc="T T T"
Sb 0.000 0.000 2.362
Cl 1.722 0.000 0.000
Sb 0.000 0.000 7.294
Br 1.722 0.000 4.828
```

Output
E (eV/atom): -3.373
SG: Cmmm
Magnetic moment (μB/f.u.): 0.00
E_form (uncorrected) (eV per atom): -0.1249